First-principles (PBE) data for an optimized crystal structure of Er4CdIn2Pd, as listed in the Alexandria database.

The calculation puts the total energy at -34.027 eV/f.u. The value obtained for the magnetization is 0.0 μB per formula unit. As for the space group: R-3m.

Unit cell a=5.2020 b=5.2020 c=8.9416 alpha=73.09 beta=73.09 gamma=60.00
With the nearest neighbours (Å) after each atom.
Atoms (fractional coordinates):
Pd 0.5000 0.5000 0.5000  8 Er 2.99-3.15
Cd 0.0000 0.0000 0.0000  8 Er 3.24-3.28, 6 In 3.60
Er 0.6183 0.6183 0.1452  1 Pd 2.99, 4 In 3.10-3.21, 3 Cd 3.24
Er 0.3817 0.3817 0.8548  1 Pd 2.99, 4 In 3.10-3.21, 3 Cd 3.24
Er 0.1297 0.1297 0.6110  3 Pd 3.15, 4 In 3.15-3.27, 1 Cd 3.28
Er 0.8703 0.8703 0.3890  3 Pd 3.15, 4 In 3.15-3.27, 1 Cd 3.28
In 0.2545 0.2545 0.2364  8 Er 3.10-3.27
In 0.7455 0.7455 0.7636  8 Er 3.10-3.27

***

First-principles (PBE) data for an optimized crystal structure of LaTaAs2, as listed in the Alexandria database.

The calculation puts the total energy at -28.673 eV/f.u. The value obtained for the magnetization is 0.0 μB per formula unit. As for the space group: Amm2.

Unit cell a=4.9663 b=3.7764 c=5.4235 alpha=69.64 beta=90.00 gamma=90.00
With the nearest neighbours (Å) after each atom.
Atoms (fractional coordinates):
As 0.0000 0.8725 0.8797  2 Ta 2.48
As 0.5000 0.1718 0.2817  2 Ta 2.72
La 0.0000 0.5914 0.4420  3 As 2.86-2.92
Ta 0.5000 0.8643 0.8967  4 As 2.48-2.72